<a>
# VCuRe2, relaxed, DFT PBE-GGA
data_VCuRe2
_chemical_formula_sum 'V1 Cu1 Re2'
_cell_length_a 3.8289
_cell_length_b 3.7974
_cell_length_c 3.7974
_cell_angle_alpha 90.00
_cell_angle_beta 90.00
_cell_angle_gamma 90.00
_symmetry_space_group_name_H-M 'P 1'
_symmetry_Int_Tables_number 1
_symmetry_space_group_name_Hall 'P 1'
loop_
_atom_site_label
_atom_site_type_symbol
_atom_site_fract_x
_atom_site_fract_y
_atom_site_fract_z
Re1 Re 0.0000 0.0000 0.5000
Re2 Re 0.0000 0.5000 0.0000
Cu1 Cu 0.5000 0.0000 0.0000
V1 V 0.5000 0.5000 0.5000
# N(E_F)   0.741 states/eV/atom

=====

<b>
# VCuRe2, relaxed, DFT PBE-GGA
data_VCuRe2
_chemical_formula_sum 'V2 Cu2 Re4'
_cell_length_a 6.8397
_cell_length_b 6.8397
_cell_length_c 5.4883
_cell_angle_alpha 51.46
_cell_angle_beta 51.46
_cell_angle_gamma 90.00
_symmetry_space_group_name_H-M 'P 1'
_symmetry_Int_Tables_number 1
_symmetry_space_group_name_Hall 'P 1'
loop_
_atom_site_label
_atom_site_type_symbol
_atom_site_fract_x
_atom_site_fract_y
_atom_site_fract_z
Re1 Re 0.6116 0.1250 0.2500
Re2 Re 0.1384 0.6250 0.2500
Re3 Re 0.3750 0.3884 0.7500
Re4 Re 0.8750 0.8616 0.7500
Cu1 Cu 0.0000 0.0000 0.0000
Cu2 Cu 0.7500 0.2500 0.5000
V1 V 0.5000 0.5000 0.0000
V2 V 0.2500 0.7500 0.5000
# N(E_F)   0.864 states/eV/atom

=====

<c>
# VCuRe2, relaxed, DFT PBE-GGA
data_VCuRe2
_chemical_formula_sum 'V1 Cu1 Re2'
_cell_length_a 4.2770
_cell_length_b 4.2770
_cell_length_c 4.2763
_cell_angle_alpha 59.99
_cell_angle_beta 59.99
_cell_angle_gamma 60.00
_symmetry_space_group_name_H-M 'P 1'
_symmetry_Int_Tables_number 1
_symmetry_space_group_name_Hall 'P 1'
loop_
_atom_site_label
_atom_site_type_symbol
_atom_site_fract_x
_atom_site_fract_y
_atom_site_fract_z
Re1 Re 0.7502 0.7502 0.7495
Re2 Re 0.2498 0.2498 0.2505
Cu1 Cu 0.5000 0.5000 0.5000
V1 V 0.0000 0.0000 0.0000
# N(E_F)   1.622 states/eV/atom

=====

Which structure is the least stable? The one labeled <b>.

=====

<a>
# VCuRe3, relaxed, DFT PBE-GGA
data_VCuRe3
_chemical_formula_sum 'V1 Cu1 Re3'
_cell_length_a 4.4041
_cell_length_b 4.4041
_cell_length_c 4.4041
_cell_angle_alpha 90.00
_cell_angle_beta 90.00
_cell_angle_gamma 90.00
_symmetry_space_group_name_H-M 'P 1'
_symmetry_Int_Tables_number 1
_symmetry_space_group_name_Hall 'P 1'
loop_
_atom_site_label
_atom_site_type_symbol
_atom_site_fract_x
_atom_site_fract_y
_atom_site_fract_z
Re1 Re 0.0000 0.5000 0.0000
Re2 Re 0.0000 0.0000 0.5000
Re3 Re 0.5000 0.0000 0.0000
Cu1 Cu 0.0000 0.0000 0.0000
V1 V 0.5000 0.5000 0.5000
# N(E_F)   1.298 states/eV/atom

=====

<b>
# VCuRe3, relaxed, DFT PBE-GGA
data_VCuRe3
_chemical_formula_sum 'V1 Cu1 Re3'
_cell_length_a 4.4745
_cell_length_b 4.4745
_cell_length_c 4.4745
_cell_angle_alpha 90.00
_cell_angle_beta 90.00
_cell_angle_gamma 90.00
_symmetry_space_group_name_H-M 'P 1'
_symmetry_Int_Tables_number 1
_symmetry_space_group_name_Hall 'P 1'
loop_
_atom_site_label
_atom_site_type_symbol
_atom_site_fract_x
_atom_site_fract_y
_atom_site_fract_z
Re1 Re 0.0000 0.5000 0.0000
Re2 Re 0.0000 0.0000 0.5000
Re3 Re 0.5000 0.0000 0.0000
Cu1 Cu 0.5000 0.5000 0.5000
V1 V 0.0000 0.0000 0.0000
# N(E_F)   1.055 states/eV/atom

=====

Which structure is the least stable? The one labeled <a>.

=====

<a>
# CuReW, relaxed, DFT PBE-GGA
data_CuReW
_chemical_formula_sum 'Cu1 Re1 W1'
_cell_length_a 4.2124
_cell_length_b 4.2124
_cell_length_c 4.2124
_cell_angle_alpha 60.00
_cell_angle_beta 60.00
_cell_angle_gamma 60.00
_symmetry_space_group_name_H-M 'P 1'
_symmetry_Int_Tables_number 1
_symmetry_space_group_name_Hall 'P 1'
loop_
_atom_site_label
_atom_site_type_symbol
_atom_site_fract_x
_atom_site_fract_y
_atom_site_fract_z
Cu1 Cu 0.5000 0.5000 0.5000
Re1 Re 0.7500 0.7500 0.7500
W1 W 0.0000 0.0000 0.0000
# N(E_F)   1.018 states/eV/atom

=====

<b>
# CuReW, relaxed, DFT PBE-GGA
data_CuReW
_chemical_formula_sum 'Cu1 Re1 W1'
_cell_length_a 4.7332
_cell_length_b 4.7332
_cell_length_c 4.7332
_cell_angle_alpha 147.79
_cell_angle_beta 128.49
_cell_angle_gamma 62.06
_symmetry_space_group_name_H-M 'P 1'
_symmetry_Int_Tables_number 1
_symmetry_space_group_name_Hall 'P 1'
loop_
_atom_site_label
_atom_site_type_symbol
_atom_site_fract_x
_atom_site_fract_y
_atom_site_fract_z
Cu1 Cu 0.0014 0.0014 0.0000
Re1 Re 0.6636 0.6636 0.0000
W1 W 0.3350 0.3350 0.0000
# N(E_F)   0.484 states/eV/atom

=====

Which structure is the least stable? The one labeled <a>.

=====

<a>
# CuReW, relaxed, DFT PBE-GGA
data_CuReW
_chemical_formula_sum 'Cu1 Re1 W1'
_cell_length_a 4.3850
_cell_length_b 4.3850
_cell_length_c 2.6427
_cell_angle_alpha 90.00
_cell_angle_beta 90.00
_cell_angle_gamma 120.00
_symmetry_space_group_name_H-M 'P 1'
_symmetry_Int_Tables_number 1
_symmetry_space_group_name_Hall 'P 1'
loop_
_atom_site_label
_atom_site_type_symbol
_atom_site_fract_x
_atom_site_fract_y
_atom_site_fract_z
Cu1 Cu 0.0000 0.0000 0.9956
Re1 Re 0.6667 0.3333 0.3535
W1 W 0.3333 0.6667 0.6510
# N(E_F)   0.271 states/eV/atom

=====

<b>
# CuReW, relaxed, DFT PBE-GGA
data_CuReW
_chemical_formula_sum 'Cu1 Re1 W1'
_cell_length_a 6.3909
_cell_length_b 6.3909
_cell_length_c 6.3909
_cell_angle_alpha 155.86
_cell_angle_beta 155.86
_cell_angle_gamma 34.41
_symmetry_space_group_name_H-M 'P 1'
_symmetry_Int_Tables_number 1
_symmetry_space_group_name_Hall 'P 1'
loop_
_atom_site_label
_atom_site_type_symbol
_atom_site_fract_x
_atom_site_fract_y
_atom_site_fract_z
Cu1 Cu 0.9986 0.9986 0.0000
Re1 Re 0.3409 0.3409 0.0000
W1 W 0.6605 0.6605 0.0000
# N(E_F)   0.915 states/eV/atom

=====

Which structure is the least stable? The one labeled <b>.

=====

<a>
# CuReW, relaxed, DFT PBE-GGA
data_CuReW
_chemical_formula_sum 'Cu1 Re1 W1'
_cell_length_a 6.8490
_cell_length_b 6.6806
_cell_length_c 2.6827
_cell_angle_alpha 82.11
_cell_angle_beta 75.06
_cell_angle_gamma 22.83
_symmetry_space_group_name_H-M 'P 1'
_symmetry_Int_Tables_number 1
_symmetry_space_group_name_Hall 'P 1'
loop_
_atom_site_label
_atom_site_type_symbol
_atom_site_fract_x
_atom_site_fract_y
_atom_site_fract_z
Cu1 Cu 0.9999 0.9999 0.0001
Re1 Re 0.6661 0.6661 0.3339
W1 W 0.3339 0.3339 0.6661
# N(E_F)   0.729 states/eV/atom

=====

<b>
# CuReW, relaxed, DFT PBE-GGA
data_CuReW
_chemical_formula_sum 'Cu1 Re1 W1'
_cell_length_a 4.7350
_cell_length_b 4.7350
_cell_length_c 4.7350
_cell_angle_alpha 139.80
_cell_angle_beta 139.80
_cell_angle_gamma 58.16
_symmetry_space_group_name_H-M 'P 1'
_symmetry_Int_Tables_number 1
_symmetry_space_group_name_Hall 'P 1'
loop_
_atom_site_label
_atom_site_type_symbol
_atom_site_fract_x
_atom_site_fract_y
_atom_site_fract_z
Cu1 Cu 0.9996 0.9996 0.0000
Re1 Re 0.6697 0.6697 0.0000
W1 W 0.3307 0.3307 0.0000
# N(E_F)   0.417 states/eV/atom

=====

Which structure is the least stable? The one labeled <a>.

=====

<a>
# CuRe3W, relaxed, DFT PBE-GGA
data_CuRe3W
_chemical_formula_sum 'Cu1 Re3 W1'
_cell_length_a 4.7318
_cell_length_b 4.7318
_cell_length_c 4.7318
_cell_angle_alpha 90.00
_cell_angle_beta 90.00
_cell_angle_gamma 90.00
_symmetry_space_group_name_H-M 'P 1'
_symmetry_Int_Tables_number 1
_symmetry_space_group_name_Hall 'P 1'
loop_
_atom_site_label
_atom_site_type_symbol
_atom_site_fract_x
_atom_site_fract_y
_atom_site_fract_z
Re1 Re 0.0000 0.5000 0.0000
Re2 Re 0.0000 0.0000 0.5000
Re3 Re 0.5000 0.0000 0.0000
Cu1 Cu 0.5000 0.5000 0.5000
W1 W 0.0000 0.0000 0.0000
# N(E_F)   1.633 states/eV/atom

=====

<b>
# CuRe3W, relaxed, DFT PBE-GGA
data_CuRe3W
_chemical_formula_sum 'Cu1 Re3 W1'
_cell_length_a 4.3880
_cell_length_b 4.3880
_cell_length_c 4.3880
_cell_angle_alpha 90.00
_cell_angle_beta 90.00
_cell_angle_gamma 90.00
_symmetry_space_group_name_H-M 'P 1'
_symmetry_Int_Tables_number 1
_symmetry_space_group_name_Hall 'P 1'
loop_
_atom_site_label
_atom_site_type_symbol
_atom_site_fract_x
_atom_site_fract_y
_atom_site_fract_z
Re1 Re 0.0000 0.5000 0.0000
Re2 Re 0.0000 0.0000 0.5000
Re3 Re 0.5000 0.0000 0.0000
Cu1 Cu 0.0000 0.0000 0.0000
W1 W 0.5000 0.5000 0.5000
# N(E_F)   1.275 states/eV/atom

=====

Which structure is the least stable? The one labeled <a>.